[1]
A geometry-optimized LiBSe2N structure. Source: Alexandria, functional GGA-PBE.

Cell: 4.6388 4.6388 3.4469 Å, 90.00 90.00 90.00°
Atoms (fractional coordinates):
N1 0.0000 0.0000 0.5000
B1 0.5000 0.5000 0.5000
Se1 0.0000 0.5000 0.0000
Se2 0.5000 0.0000 0.0000
Li1 0.0000 0.0000 0.0000

Summary:
The total energy comes out at -3.10 eV/atom. As for the density: 4.2 g/cm³. The space-group type is No. 123. The polymorph energy (0 for the lowest one) is 1.806 eV per atom. The value obtained for the magnetization is 0.1 μB/f.u. For the uncorrected formation energy, the calculation gives 1.675 eV/atom.

[2]
A geometry-optimized Li2HgIrO4 structure. Source: Alexandria, functional GGA-PBE.

Cell: 3.1015 5.0968 7.8528 Å, 55.03 78.61 72.29°
Last column: magnetic moment on the atom in μB.
Atoms (fractional coordinates):
O1 0.1132 0.0412 0.7324  0.14
O2 0.6147 0.6697 0.1009  0.02
O3 0.8868 0.9588 0.2676  0.14
O4 0.3853 0.3303 0.8991  0.02
Ir1 0.0000 0.0000 0.0000  0.61
Li1 0.2646 0.2859 0.1848  0.00
Li2 0.7354 0.7141 0.8152  0.00
Hg1 0.5000 0.5000 0.5000  -0.01

Summary:
The total energy comes out at -5.15 eV/atom. As for the density: 8.1 g/cm³. The space-group type is No. 12. The value obtained for the magnetization is 1.0 μB/f.u. For the uncorrected formation energy, the calculation gives -1.051 eV/atom.

[3]
A geometry-optimized TlNiIrS3 structure. Source: Alexandria, functional GGA-PBE.

Cell: 3.6331 8.0689 9.1899 Å, 114.36 90.00 90.00°
Atoms (fractional coordinates):
S1 0.7500 0.4772 0.1286
S2 0.2500 0.1237 0.8632
S3 0.2500 0.5228 0.8714
S4 0.7500 0.8763 0.1368
S5 0.7500 0.2081 0.5540
S6 0.2500 0.7919 0.4460
Tl1 0.7500 0.7608 0.7278
Tl2 0.2500 0.2392 0.2722
Ni1 0.2500 0.0859 0.6125
Ni2 0.7500 0.9141 0.3875
Ir1 0.2500 0.6829 0.1555
Ir2 0.7500 0.3171 0.8445

Summary:
The total energy comes out at -5.22 eV/atom. As for the density: 7.5 g/cm³. The space-group type is No. 11. The value obtained for the magnetization is 0.0 μB/f.u. For the uncorrected formation energy, the calculation gives -0.326 eV/atom.